First-principles (GGA-PBE) data for a relaxed structure of NdGe12Pd4, as listed in Alexandria via LeMat-Bulk.

abc: 7.5465 7.5465 7.5465
angles: 109.47 109.47 109.47
Element x y z (fractional)
1 Nd 0.0000 0.0000 0.0000
2 Ge 0.1516 0.5063 0.3548
3 Ge 0.1516 0.7968 0.6452
4 Ge 0.2032 0.3548 0.8484
5 Ge 0.3548 0.1516 0.5063
6 Ge 0.3548 0.8484 0.2032
7 Ge 0.4937 0.6452 0.8484
8 Ge 0.5063 0.3548 0.1516
9 Ge 0.6452 0.1516 0.7968
10 Ge 0.6452 0.8484 0.4937
11 Ge 0.7968 0.6452 0.1516
12 Ge 0.8484 0.2032 0.3548
13 Ge 0.8484 0.4937 0.6452
14 Pd 0.0000 0.0000 0.5000
15 Pd 0.0000 0.5000 0.0000
16 Pd 0.5000 0.0000 0.0000
17 Pd 0.5000 0.5000 0.5000

Properties
total moment = 0.0000 μB/atom
density of states at the Fermi level = 11.65 states/eV per cell
energy of formation = -271 meV/atom

First-principles (GGA-PBE) data for a relaxed structure of La2Er12Sc5, as listed in Alexandria via LeMat-Bulk.

abc: 8.8891 8.8891 8.3317
angles: 90.52 90.52 61.04
Element x y z (fractional)
1 La 0.1951 0.8049 0.0000
2 La 0.8049 0.1951 0.0000
3 Er 0.0672 0.0672 0.3122
4 Er 0.0724 0.6894 0.3675
5 Er 0.1493 0.5160 0.7587
6 Er 0.3106 0.9276 0.6325
7 Er 0.3945 0.3945 0.1238
8 Er 0.4840 0.8507 0.2413
9 Er 0.5160 0.1493 0.7587
10 Er 0.6055 0.6055 0.8762
11 Er 0.6894 0.0724 0.3675
12 Er 0.8507 0.4840 0.2413
13 Er 0.9276 0.3106 0.6325
14 Er 0.9328 0.9328 0.6878
15 Sc 0.1909 0.1909 0.9979
16 Sc 0.2670 0.2670 0.4263
17 Sc 0.5000 0.5000 0.5000
18 Sc 0.7330 0.7330 0.5737
19 Sc 0.8091 0.8091 0.0021

Properties
total moment = 0.0000 μB/atom
density of states at the Fermi level = 26.91 states/eV per cell
energy of formation = 170 meV/atom

First-principles (GGA-PBE) data for a relaxed structure of Cs2NaI, as listed in Alexandria via LeMat-Bulk.

abc: 9.4174 9.4174 9.4174
angles: 110.75 110.75 106.94
Element x y z (fractional)
1 Cs 0.0813 0.6250 0.9563
2 Cs 0.3750 0.3313 0.4563
3 Cs 0.6687 0.1250 0.0437
4 Cs 0.8750 0.9187 0.5437
5 Na 0.2500 0.7500 0.5000
6 Na 0.5000 0.5000 0.0000
7 I 0.0000 0.0000 0.0000
8 I 0.7500 0.2500 0.5000

Properties
ΔE_f (raw) = -0.643 eV per atom
total moment = 0.0000 μB/atom
E above lowest polymorph = 0.0755 eV/atom
density of states at the Fermi level = 0.00 states/eV per cell

First-principles (GGA-PBE) data for a relaxed structure of Ca2Sm3Hg3, as listed in Alexandria via LeMat-Bulk.

abc: 12.0648 12.0648 12.0648
angles: 161.97 153.70 32.07
Element x y z (fractional)
1 Ca 0.2237 0.2237 0.0000
2 Ca 0.7763 0.7763 0.0000
3 Sm 0.0000 0.0000 0.0000
4 Sm 0.3848 0.8848 0.5000
5 Sm 0.6152 0.1152 0.5000
6 Hg 0.1134 0.6134 0.5000
7 Hg 0.5000 0.5000 0.0000
8 Hg 0.8866 0.3866 0.5000

Properties
total moment = 0.1379 μB/atom
density of states at the Fermi level = 8.80 states/eV per cell
energy of formation = -319 meV/atom

First-principles (GGA-PBE) data for a relaxed structure of LiSi2Cl, as listed in Alexandria via LeMat-Bulk.

abc: 3.8618 3.8618 13.2817
angles: 90.00 90.00 120.00
Element x y z (fractional)
1 Li 0.0000 0.0000 0.0000
2 Li 0.3333 0.6667 0.2456
3 Si 0.0000 0.0000 0.5069
4 Si 0.0000 0.0000 0.6891
5 Si 0.3333 0.6667 0.4491
6 Si 0.3333 0.6667 0.7404
7 Cl 0.0000 0.0000 0.1735
8 Cl 0.3333 0.6667 0.9317

Properties
ΔE_f (raw) = -0.651 eV per atom
total moment = 0.0000 μB/atom
E above lowest polymorph = 0.0216 eV/atom

First-principles (GGA-PBE) data for a relaxed structure of MgTiTlAu2, as listed in Alexandria via LeMat-Bulk.

abc: 4.8101 4.8101 5.1441
angles: 90.00 90.00 90.00
Element x y z (fractional)
1 Mg 0.0000 0.0000 0.0000
2 Ti 0.5000 0.5000 0.5000
3 Tl 0.0000 0.0000 0.5000
4 Au 0.0000 0.5000 0.0000
5 Au 0.5000 0.0000 0.0000

Properties
total moment = 0.0000 μB/atom
density of states at the Fermi level = 4.42 states/eV per cell
energy of formation = 656 meV/atom

First-principles (GGA-PBE) data for a relaxed structure of SiW3, as listed in Alexandria via LeMat-Bulk.

abc: 2.8239 2.8239 7.6684
angles: 90.00 90.00 90.00
Element x y z (fractional)
1 Si 0.0000 0.0000 0.0000
2 W 0.0000 0.0000 0.5000
3 W 0.5000 0.5000 0.2266
4 W 0.5000 0.5000 0.7734

Properties
ΔE_f (raw) = 0.280 eV per atom
total moment = 0.0000 μB/atom
density of states at the Fermi level = 4.30 states/eV per cell

First-principles (GGA-PBE) data for a relaxed structure of PuU3S4, as listed in Alexandria via LeMat-Bulk.

abc: 5.4723 5.4723 5.4723
angles: 90.00 90.00 90.00
Element x y z (fractional)
1 Pu 0.0000 0.0000 0.0000
2 U 0.0000 0.5000 0.5000
3 U 0.5000 0.0000 0.5000
4 U 0.5000 0.5000 0.0000
5 S 0.0000 0.0000 0.5000
6 S 0.0000 0.5000 0.0000
7 S 0.5000 0.0000 0.0000
8 S 0.5000 0.5000 0.5000

Properties
ΔE_f (raw) = -1.459 eV per atom
total moment = 1.4239 μB/atom
density of states at the Fermi level = 19.18 states/eV per cell

First-principles (GGA-PBE) data for a relaxed structure of Tb2DyTm3Bi6, as listed in Alexandria via LeMat-Bulk.

abc: 9.9625 9.9625 8.9137
angles: 102.84 102.84 25.85
Element x y z (fractional)
1 Tb 0.1665 0.1665 0.3330
2 Tb 0.8335 0.8335 0.6670
3 Dy 0.5000 0.5000 0.0000
4 Tm 0.1669 0.1669 0.8331
5 Tm 0.5000 0.5000 0.5000
6 Tm 0.8331 0.8331 0.1669
7 Bi 0.0012 0.0012 0.7484
8 Bi 0.3327 0.3327 0.9196
9 Bi 0.3343 0.3343 0.4144
10 Bi 0.6657 0.6657 0.5856
11 Bi 0.6673 0.6673 0.0804
12 Bi 0.9988 0.9988 0.2516

Properties
total moment = 0.0000 μB/atom
density of states at the Fermi level = 2.00 states/eV per cell
energy of formation = -827 meV/atom

First-principles (GGA-PBE) data for a relaxed structure of GdPaZnGe, as listed in Alexandria via LeMat-Bulk.

abc: 5.0439 5.0439 5.0439
angles: 60.00 60.00 60.00
Element x y z (fractional)
1 Gd 0.0000 0.0000 0.0000
2 Pa 0.5000 0.5000 0.5000
3 Zn 0.7500 0.7500 0.7500
4 Ge 0.2500 0.2500 0.2500

Properties
total moment = 2.1100 μB/atom
density of states at the Fermi level = 7.87 states/eV per cell
energy of formation = -247 meV/atom

First-principles (GGA-PBE) data for a relaxed structure of MnRh9W2, as listed in Alexandria via LeMat-Bulk.

abc: 3.8588 3.8588 11.5710
angles: 90.00 90.00 90.00
Element x y z (fractional)
1 Mn 0.0000 0.0000 0.0000
2 Rh 0.0000 0.5000 0.1700
3 Rh 0.0000 0.5000 0.5000
4 Rh 0.0000 0.5000 0.8300
5 Rh 0.5000 0.0000 0.1700
6 Rh 0.5000 0.0000 0.5000
7 Rh 0.5000 0.0000 0.8300
8 Rh 0.5000 0.5000 0.0000
9 Rh 0.5000 0.5000 0.3349
10 Rh 0.5000 0.5000 0.6651
11 W 0.0000 0.0000 0.3274
12 W 0.0000 0.0000 0.6726

Properties
total moment = 0.3029 μB/atom
density of states at the Fermi level = 7.70 states/eV per cell
energy of formation = -235 meV/atom

First-principles (GGA-PBE) data for a relaxed structure of Yb4Ni3C5, as listed in Alexandria via LeMat-Bulk.

abc: 3.7254 5.8047 9.1844
angles: 76.73 78.31 71.39
Element x y z (fractional)
1 Yb 0.0979 0.2006 0.1045
2 Yb 0.2549 0.3271 0.6614
3 Yb 0.7451 0.6729 0.3386
4 Yb 0.9021 0.7994 0.8955
5 Ni 0.0000 0.0000 0.5000
6 Ni 0.4574 0.2512 0.3359
7 Ni 0.5426 0.7488 0.6641
8 C 0.3254 0.7411 0.1079
9 C 0.3973 0.5196 0.1871
10 C 0.5000 0.0000 0.5000
11 C 0.6027 0.4804 0.8129
12 C 0.6746 0.2589 0.8921

Properties
total moment = 0.0000 μB/atom
density of states at the Fermi level = 2.83 states/eV per cell
energy of formation = -294 meV/atom